No. 1
CrCdIn | PBE-GGA | relaxed

Properties
Calculated formation energy   468 meV per atom
ΔE to the lowest computed polymorph   3.01 kcal/mol of atoms
Electronic total energy   -11.9 eV/f.u.
Size of the total moment   1.31 μB per atom

Lattice parameters (Å, degrees): 4.6389 4.6389 4.6389 60.00 60.00 60.00
With the nearest neighbours (Å) after each atom.
Positions (direct):
Cr: 0.2500 0.2500 0.2500  4 Cd 2.84, 4 In 2.84
In: 0.0000 0.0000 0.0000  4 Cr 2.84
Cd: 0.5000 0.5000 0.5000  4 Cr 2.84



No. 2
Cs2Na3Hg2 | PBE-GGA | relaxed

Properties
Calculated formation energy   -156 meV per atom
Electronic total energy   -7.4 eV/f.u.
Size of the total moment   0.00 μB per atom

Lattice parameters (Å, degrees): 5.2720 7.3724 9.7255 116.17 90.00 110.95
With the nearest neighbours (Å) after each atom.
Positions (direct):
Hg: 0.1459 0.2917 0.2085  5 Na 3.33-3.35
Hg: 0.8541 0.7083 0.7915  5 Na 3.33-3.35
Cs: 0.1352 0.2704 0.7794  4 Hg 3.93-4.11, 5 Na 4.24-4.38
Cs: 0.8648 0.7296 0.2206  4 Hg 3.93-4.11, 5 Na 4.24-4.38
Na: 0.5000 0.0000 0.0000  4 Hg 3.35, 2 Na 3.65
Na: 0.6523 0.3047 0.4250  3 Hg 3.33-3.35, 3 Na 3.55-3.65
Na: 0.3477 0.6953 0.5750  3 Hg 3.33-3.35, 3 Na 3.55-3.65



No. 3
AcPmScAg | PBE-GGA | relaxed

Properties
Calculated formation energy   195 meV per atom
Electronic total energy   -17.3 eV/f.u.
Size of the total moment   0.39 μB per atom

Lattice parameters (Å, degrees): 5.4554 5.4554 5.4554 60.00 60.00 60.00
With the nearest neighbours (Å) after each atom.
Positions (direct):
Ac: 0.7500 0.7500 0.7500  4 Sc 3.34, 4 Pm 3.34
Pm: 0.5000 0.5000 0.5000  4 Ag 3.34, 4 Ac 3.34
Ag: 0.2500 0.2500 0.2500  4 Pm 3.34, 4 Sc 3.34
Sc: 0.0000 0.0000 0.0000  4 Ac 3.34, 4 Ag 3.34



No. 4
Er2Si5Ni3 | PBE-GGA | relaxed

Properties
Electronic total energy   -61.4 eV/f.u.
Size of the total moment   0.00 μB per atom
Raw formation energy   -0.78 eV/atom

Lattice parameters (Å, degrees): 7.8395 7.8395 7.8395 137.91 104.59 90.34
With the nearest neighbours (Å) after each atom.
Positions (direct):
Er: 0.6047 0.8687 0.7360  10 Si 2.85-3.11, 4 Ni 2.96-3.16
Er: 0.3953 0.1313 0.2640  10 Si 2.85-3.11, 4 Ni 2.96-3.16
Er: 0.8673 0.6313 0.2360  10 Si 2.85-3.11, 4 Ni 2.96-3.16
Er: 0.1327 0.3687 0.7640  10 Si 2.85-3.11, 4 Ni 2.96-3.16
Ni: 0.7483 0.1345 0.6138  5 Si 2.26-2.32
Ni: 0.0000 0.7500 0.7500  6 Si 2.35-2.58
Ni: 0.2517 0.8655 0.3862  5 Si 2.26-2.32
Ni: 0.0000 0.2500 0.2500  6 Si 2.35-2.58
Ni: 0.4793 0.3655 0.1138  5 Si 2.26-2.32
Ni: 0.5207 0.6345 0.8862  5 Si 2.26-2.32
Si: 0.5000 0.7500 0.2500  4 Ni 2.32
Si: 0.0450 0.8926 0.1525  3 Ni 2.26-2.35, 2 Si 2.46
Si: 0.9550 0.1074 0.8475  3 Ni 2.26-2.35, 2 Si 2.46
Si: 0.7664 0.5164 0.7500  2 Ni 2.30, 2 Si 2.46
Si: 0.7401 0.3926 0.3475  3 Ni 2.26-2.35, 2 Si 2.46
Si: 0.5000 0.2500 0.7500  4 Ni 2.32
Si: 0.2336 0.4836 0.2500  2 Ni 2.30, 2 Si 2.46
Si: 0.2599 0.6074 0.6525  3 Ni 2.26-2.35, 2 Si 2.46
Si: 0.7664 0.0164 0.2500  2 Ni 2.30, 2 Si 2.46
Si: 0.2336 0.9836 0.7500  2 Ni 2.30, 2 Si 2.46



No. 5
Pu4IrI5 | PBE-GGA | relaxed

Properties
Electronic total energy   -82.8 eV/f.u.
Size of the total moment   2.33 μB per atom
Raw formation energy   -0.89 eV/atom

Lattice parameters (Å, degrees): 4.2145 8.9667 9.7945 102.37 102.42 90.00
With the nearest neighbours (Å) after each atom.
Positions (direct):
I: 0.8258 0.1802 0.6515  4 Pu 3.20-3.34
I: 0.8320 0.6602 0.6639  3 Pu 3.17-3.18
I: 0.5000 0.5000 0.0000  4 Pu 3.33
I: 0.1742 0.8198 0.3485  4 Pu 3.20-3.34
I: 0.1680 0.3398 0.3361  3 Pu 3.17-3.18
Pu: 0.6473 0.0701 0.2946  1 Ir 2.75
Pu: 0.9994 0.2115 0.9988  2 Ir 2.84
Pu: 0.3527 0.9299 0.7054  1 Ir 2.75
Pu: 0.0006 0.7885 0.0012  2 Ir 2.84
Ir: 0.5000 0.0000 0.0000  6 Pu 2.75-2.84



No. 6
PbAuSe2 | PBE-GGA | relaxed

Properties
Electronic total energy   -14.4 eV/f.u.
Size of the total moment   0.00 μB per atom
Raw formation energy   -0.12 eV/atom

Lattice parameters (Å, degrees): 6.2627 6.2627 7.8637 66.53 66.53 90.00
With the nearest neighbours (Å) after each atom.
Positions (direct):
Se: 0.3750 0.4145 0.7500  2 Au 2.61, 2 Pb 2.89
Se: 0.5855 0.1250 0.2500  2 Au 2.61, 2 Pb 2.89
Se: 0.1645 0.6250 0.2500  2 Au 2.61, 2 Pb 2.89
Se: 0.8750 0.8355 0.7500  2 Au 2.61, 2 Pb 2.89
Au: 0.2500 0.7500 0.5000  4 Se 2.61
Au: 0.5000 0.5000 0.0000  4 Se 2.61
Pb: 0.7500 0.2500 0.5000  4 Se 2.89
Pb: 0.0000 0.0000 0.0000  4 Se 2.89



No. 7
AcSmTlCd | PBE-GGA | relaxed

Properties
Calculated formation energy   -325 meV per atom
ΔE to the lowest computed polymorph   0.00 kcal/mol of atoms
Electronic total energy   -13.4 eV/f.u.
Size of the total moment   0.00 μB per atom

Lattice parameters (Å, degrees): 3.9634 3.9634 7.9900 90.00 90.00 90.00
With the nearest neighbours (Å) after each atom.
Positions (direct):
Ac: 0.5000 0.5000 0.1126  4 Cd 3.55, 4 Tl 3.60, 1 Sm 3.89, 4 Ac 3.96
Tl: 0.0000 0.0000 0.8302  4 Sm 3.35, 1 Cd 3.56, 4 Ac 3.60
Sm: 0.5000 0.5000 0.6001  4 Cd 3.29, 4 Tl 3.35
Cd: 0.0000 0.0000 0.3850  4 Sm 3.29, 4 Ac 3.55, 1 Tl 3.56



No. 8
YTe2Pb | PBE-GGA | relaxed

Properties
Electronic total energy   -17.4 eV/f.u.
Size of the total moment   0.00 μB per atom
Raw formation energy   -0.23 eV/atom

Lattice parameters (Å, degrees): 9.7405 9.7405 9.7405 27.29 27.29 27.29
With the nearest neighbours (Å) after each atom.
Positions (direct):
Te: 0.1017 0.1017 0.1017  1 Y 2.86
Te: 0.8983 0.8983 0.8983  1 Y 2.86
Y: 0.0000 0.0000 0.0000  2 Te 2.86
Pb: 0.5000 0.5000 0.5000  6 Te 3.22



No. 9
HfGe2O | PBE-GGA | relaxed

Properties
Electronic total energy   -25.2 eV/f.u.
Size of the total moment   0.00 μB per atom
Raw formation energy   -0.26 eV/atom

Lattice parameters (Å, degrees): 6.2164 6.2164 5.6409 56.56 56.56 90.00
With the nearest neighbours (Å) after each atom.
Positions (direct):
O: 0.2500 0.7500 0.5000  4 Ge 2.06
O: 0.5000 0.5000 0.0000  4 Ge 2.06
Ge: 0.5405 0.1250 0.2500  2 O 2.06
Ge: 0.3750 0.4595 0.7500  2 O 2.06
Ge: 0.2095 0.6250 0.2500  2 O 2.06
Ge: 0.8750 0.7905 0.7500  2 O 2.06
Hf: 0.7500 0.2500 0.5000  4 Ge 2.74
Hf: 0.0000 0.0000 0.0000  4 Ge 2.74



No. 10
Li2TaTc | PBE-GGA | relaxed

Properties
Calculated formation energy   289 meV per atom
ΔE to the lowest computed polymorph   3.41 kcal/mol of atoms
Electronic total energy   -24.9 eV/f.u.
Size of the total moment   0.00 μB per atom

Lattice parameters (Å, degrees): 2.6032 4.2562 5.8742 90.00 90.00 90.00
With the nearest neighbours (Å) after each atom.
Positions (direct):
Li: 0.5000 0.5000 0.2318  6 Li 2.60-2.82
Li: 0.0000 0.0000 0.0079  6 Li 2.60-2.82, 1 Ta 2.83
Ta: 0.0000 0.0000 0.5265  2 Ta 2.60, 4 Tc 2.78, 1 Li 2.83
Tc: 0.5000 0.5000 0.7339  2 Tc 2.60, 4 Ta 2.78



No. 11
FeReHRh2 | PBE-GGA | relaxed

Properties
Electronic total energy   -38.4 eV/f.u.
Size of the total moment   0.00 μB per atom

Lattice parameters (Å, degrees): 3.8128 3.8128 3.8420 90.00 90.00 90.00
With the nearest neighbours (Å) after each atom.
Positions (direct):
Rh: 0.5000 0.0000 0.0000  2 H 1.91
Rh: 0.0000 0.5000 0.0000  2 H 1.91
Fe: 0.0000 0.0000 0.5000  2 H 1.92
Re: 0.5000 0.5000 0.5000  4 Fe 2.70, 8 Rh 2.71
H: 0.0000 0.0000 0.0000  4 Rh 1.91, 2 Fe 1.92



No. 12
Pm6Dy2Si | PBE-GGA | relaxed

Properties
Electronic total energy   -43.0 eV/f.u.
Size of the total moment   0.00 μB per atom
Raw formation energy   0.01 eV/atom

Lattice parameters (Å, degrees): 3.6229 3.6229 25.5666 90.00 90.00 120.00
With the nearest neighbours (Å) after each atom.
Positions (direct):
Pm: 0.3333 0.6667 0.5699  3 Dy 3.52, 7 Pm 3.57-3.62
Pm: 0.6667 0.3333 0.9144  3 Si 3.03
Pm: 0.3333 0.6667 0.2058  3 Dy 3.58, 9 Pm 3.62-3.72
Pm: 0.3333 0.6667 0.4301  3 Dy 3.52, 7 Pm 3.57-3.62
Pm: 0.3333 0.6667 0.7942  3 Dy 3.58, 9 Pm 3.62-3.72
Pm: 0.6667 0.3333 0.0856  3 Si 3.03
Si: 0.3333 0.6667 0.0000  6 Pm 3.03
Dy: 0.6667 0.3333 0.3196  6 Pm 3.52-3.58, 6 Dy 3.62
Dy: 0.6667 0.3333 0.6804  6 Pm 3.52-3.58, 6 Dy 3.62